(1)
Below is a crystal of Sc2BeZn relaxed with PBEsol, with properties calculated at the SCAN level.

Summary:
formation enthalpy at 0 K	-95.4	kJ/mol of formula units
relative energy among the computed polymorphs	0.018	eV per atom
DOS(E_F)	0.695	states/eV per atom

Cell: 4.570 4.570 4.570 Å, 60.00 60.00 60.00°
Fractional positions:
Sc 0.250 0.250 0.250
Sc 0.750 0.750 0.750
Be 0.000 0.000 0.000
Zn 0.500 0.500 0.500

***

(2)
Below is a crystal of Tl2InNi relaxed with PBEsol, with properties calculated at the SCAN level.

Summary:
formation enthalpy at 0 K	49.6	kJ/mol of formula units
DOS(E_F)	0.450	states/eV per atom

Cell: 4.873 4.873 6.736 Å, 110.19 110.19 38.15°
Fractional positions:
Tl 0.000 0.000 0.000
Tl 0.178 0.178 0.690
In 0.823 0.823 0.345
Ni 0.546 0.546 0.344

***

(3)
Below is a crystal of Ag2SbAu relaxed with PBEsol, with properties calculated at the SCAN level.

Summary:
E_form (uncorrected)	0.057	eV per atom
DOS(E_F)	0.281	states/eV per atom

Cell: 5.026 5.026 5.080 Å, 98.91 98.91 36.38°
Fractional positions:
Ag 0.000 0.000 0.000
Ag 0.747 0.747 0.236
Sb 0.502 0.502 0.500
Au 0.254 0.254 0.758

***

(4)
Below is a crystal of OsBr2 relaxed with PBEsol, with properties calculated at the SCAN level.

Summary:
E_form (uncorrected)	1.248	eV per atom
DOS(E_F)	0.919	states/eV per atom

Cell: 6.507 6.507 6.507 Å, 151.93 151.93 40.11°
Fractional positions:
Os 0.000 0.000 0.000
Br 0.373 0.373 0.000
Br 0.627 0.627 0.000

***

(5)
Below is a crystal of KSnB3 relaxed with PBEsol, with properties calculated at the SCAN level.

Summary:
formation enthalpy at 0 K	923.9	kJ/mol of formula units
DOS(E_F)	0.620	states/eV per atom

Cell: 4.620 4.620 4.620 Å, 90.00 90.00 90.00°
Fractional positions:
K 0.000 0.000 0.000
Sn 0.500 0.500 0.500
B 0.000 0.500 0.500
B 0.500 0.000 0.500
B 0.500 0.500 0.000

***

(6)
Below is a crystal of CaAg2SbCl relaxed with PBEsol, with properties calculated at the SCAN level.

Summary:
E_form (uncorrected)	-0.246	eV per atom
DOS(E_F)	0.118	states/eV per atom

Cell: 4.898 4.898 5.111 Å, 90.00 90.00 90.00°
Fractional positions:
Ca 0.000 0.000 0.000
Ag 0.000 0.500 0.500
Ag 0.500 0.000 0.500
Sb 0.500 0.500 0.000
Cl 0.000 0.000 0.500

***

(7)
Below is a crystal of TcRhW2 relaxed with PBEsol, with properties calculated at the SCAN level.

Summary:
formation enthalpy at 0 K	88.2	kJ/mol of formula units
relative energy among the computed polymorphs	0.213	eV per atom
DOS(E_F)	1.065	states/eV per atom

Cell: 4.382 4.382 4.382 Å, 60.00 60.00 60.00°
Fractional positions:
Tc 0.000 0.000 0.000
Rh 0.250 0.250 0.250
W 0.500 0.500 0.500
W 0.750 0.750 0.750

***

(8)
Below is a crystal of TcBi3O relaxed with PBEsol, with properties calculated at the SCAN level.

Summary:
E_form (uncorrected)	0.847	eV per atom
DOS(E_F)	0.935	states/eV per atom

Cell: 5.158 5.158 5.158 Å, 90.00 90.00 90.00°
Fractional positions:
Tc 0.000 0.000 0.000
Bi 0.000 0.000 0.500
Bi 0.000 0.500 0.000
Bi 0.500 0.000 0.000
O 0.500 0.500 0.500

***

(9)
Below is a crystal of Ba2TlFe relaxed with PBEsol, with properties calculated at the SCAN level.

Summary:
formation enthalpy at 0 K	48.6	kJ/mol of formula units
DOS(E_F)	0.644	states/eV per atom

Cell: 5.814 5.814 3.901 Å, 90.00 90.00 90.00°
Fractional positions:
Ba 0.000 0.500 0.000
Ba 0.500 0.000 0.000
Tl 0.000 0.000 0.500
Fe 0.500 0.500 0.500

***

(10)
Below is a crystal of CuHgSI relaxed with PBEsol, with properties calculated at the SCAN level.

Summary:
E_form (uncorrected)	-0.220	eV per atom

Cell: 7.069 8.324 6.921 Å, 90.00 90.00 90.00°
Fractional positions:
Cu 0.082 0.145 0.000
Cu 0.418 0.645 0.500
Cu 0.582 0.355 0.000
Cu 0.918 0.855 0.500
Hg 0.039 0.559 0.906
Hg 0.461 0.059 0.406
Hg 0.539 0.941 0.906
Hg 0.961 0.441 0.406
S 0.114 0.657 0.584
S 0.386 0.157 0.084
S 0.614 0.843 0.584
S 0.886 0.343 0.084
I 0.081 0.122 0.618
I 0.419 0.622 0.118
I 0.581 0.378 0.618
I 0.919 0.878 0.118

***

(11)
Below is a crystal of ZrSc2Mn relaxed with PBEsol, with properties calculated at the SCAN level.

Summary:
formation enthalpy at 0 K	23.8	kJ/mol of formula units
relative energy among the computed polymorphs	0.000	eV per atom
DOS(E_F)	1.055	states/eV per atom

Cell: 5.560 5.560 5.560 Å, 145.71 127.41 64.29°
Fractional positions:
Zr 0.000 0.000 0.000
Sc 0.406 0.406 0.000
Sc 0.704 0.204 0.500
Mn 0.192 0.692 0.500

***

(12)
Below is a crystal of KHgSe relaxed with PBEsol, with properties calculated at the SCAN level.

Summary:
E_form (uncorrected)	-0.412	eV per atom
DOS(E_F)	0.352	states/eV per atom

Cell: 7.383 7.383 7.383 Å, 153.78 153.78 37.43°
Fractional positions:
K 0.000 0.000 0.000
Hg 0.320 0.320 0.000
Se 0.661 0.661 0.000

***

DFT total energy for the records above, in order: -11.83, -48.44, -42.23, -35.69, -11.39, -23.77, -51.82, -54.56, -42.27, -32.65, -19.30, -32.60 eV/atom